(1)
The following is a DFT calculation (PBE) of a relaxed structure of Hf2FeBr.

The structure belongs to space group Fm-3m (No. 225); the cell edges are 6.610, 6.610 and 6.610 Å and the angles 90.00°, 90.00° and 90.00°. Symmetry generates all atoms from Hf at (0.250, 0.250, 0.250), Fe at (0.000, 0.000, 0.000) and Br at (0.000, 0.000, 0.500).

As for the formation energy (no corrections): 311 meV/atom. The calculation puts the theoretical density at 11334 kg/m3. The calculation puts the energy above the most stable polymorph in this dataset at 0 meV/atom.


(2)
The following is a DFT calculation (PBE) of a relaxed structure of Tl12P5Au3.

The structure belongs to space group Ia-3d (No. 230); the cell edges are 16.714, 16.714 and 16.714 Å and the angles 90.00°, 90.00° and 90.00°. Symmetry generates all atoms from Tl at (0.025, 0.078, 0.650), P at (0.000, 0.000, 0.000), P at (0.000, 0.250, 0.375) and Au at (0.000, 0.250, 0.125).

The calculation puts the theoretical density at 9100 kg/m3. For the formation energy, the calculation gives 182 meV per atom.


(3)
The following is a DFT calculation (PBE) of a relaxed structure of FeRuPt2.

The structure belongs to space group R-3m (No. 166, hexagonal axes); the cell edges are 2.7311, 2.7311 and 26.8256 Å and the angles 90.00°, 90.00° and 120.00°. Symmetry generates all atoms from Fe at (0.0000, 0.0000, 0.0000), Ru at (0.0000, 0.0000, 0.5000) and Pt at (0.0000, 0.0000, 0.2524).

The calculation puts the theoretical density at 15728 kg/m3. For the formation energy, the calculation gives -34 meV per atom.


(4)
The following is a DFT calculation (PBE) of a relaxed structure of NdHo2Tl3Te6.

The structure belongs to space group C2/m (No. 12); the cell edges are 7.765, 13.447 and 8.583 Å and the angles 90.00°, 107.55° and 90.00°. Symmetry generates all atoms from Nd at (0.000, 0.000, 0.000), Ho at (0.000, 0.333, 0.000), Tl at (0.000, 0.164, 0.500), Tl at (0.000, 0.500, 0.500), Te at (0.229, 0.500, 0.213) and Te at (0.243, 0.171, 0.216).

As for the formation energy (no corrections): -1054 meV/atom. The calculation puts the theoretical density at 7202 kg/m3.


(5)
The following is a DFT calculation (PBE) of a relaxed structure of Nd3CoCl2.

The structure belongs to space group Immm (No. 71); the cell edges are 3.835, 5.907 and 13.731 Å and the angles 90.00°, 90.00° and 90.00°. Symmetry generates all atoms from Nd at (0.000, 0.000, 0.000), Nd at (0.000, 0.000, 0.368), Co at (0.000, 0.500, 0.000) and Cl at (0.000, 0.500, 0.325).

As for the formation energy (no corrections): -1033 meV/atom. The calculation puts the theoretical density at 6007 kg/m3.